No. 1
Here is a relaxed Tb4Pr11Dy9 crystal from the Alexandria database. Energies are from PBE-GGA.

Summary:
formation enthalpy at 0 K	5.57	kJ/mol of atoms
total magnetic moment	0.0	μB/f.u.

Lattice parameters (Å, degrees): 15.521 15.521 3.689 90.00 90.00 113.09
Element x y z (fractional)
Tb (0.055, 0.259, 0.000)
Tb (0.259, 0.055, 0.000)
Tb (0.741, 0.945, 0.000)
Tb (0.945, 0.741, 0.000)
Pr (0.095, 0.457, 0.500)
Pr (0.132, 0.868, 0.500)
Pr (0.208, 0.208, 0.500)
Pr (0.340, 0.660, 0.500)
Pr (0.457, 0.095, 0.500)
Pr (0.500, 0.500, 0.500)
Pr (0.543, 0.905, 0.500)
Pr (0.660, 0.340, 0.500)
Pr (0.792, 0.792, 0.500)
Pr (0.868, 0.132, 0.500)
Pr (0.905, 0.543, 0.500)
Dy (0.000, 0.000, 0.000)
Dy (0.131, 0.666, 0.000)
Dy (0.287, 0.432, 0.000)
Dy (0.334, 0.869, 0.000)
Dy (0.432, 0.287, 0.000)
Dy (0.568, 0.713, 0.000)
Dy (0.666, 0.131, 0.000)
Dy (0.713, 0.568, 0.000)
Dy (0.869, 0.334, 0.000)



No. 2
Here is a relaxed Tb4PrDy7 crystal from the Alexandria database. Energies are from PBE-GGA.

Summary:
formation enthalpy at 0 K	25.80	kJ/mol of atoms
energy relative to the lowest polymorph listed for this composition	267.3	meV/atom
total magnetic moment	0.0	μB/f.u.

Lattice parameters (Å, degrees): 6.722 6.722 12.637 114.94 114.94 52.01
Element x y z (fractional)
Tb (0.133, 0.133, 0.275)
Tb (0.253, 0.253, 0.819)
Tb (0.747, 0.747, 0.181)
Tb (0.867, 0.867, 0.725)
Pr (0.500, 0.500, 0.500)
Dy (0.000, 0.000, 0.500)
Dy (0.133, 0.133, 0.002)
Dy (0.289, 0.289, 0.578)
Dy (0.440, 0.440, 0.171)
Dy (0.560, 0.560, 0.829)
Dy (0.711, 0.711, 0.422)
Dy (0.867, 0.867, 0.998)



No. 3
Here is a relaxed TbPr4Dy6 crystal from the Alexandria database. Energies are from PBE-GGA.

Summary:
formation enthalpy at 0 K	42.91	kJ/mol of atoms
energy relative to the lowest polymorph listed for this composition	150.9	meV/atom
total magnetic moment	0.0	μB/f.u.

Lattice parameters (Å, degrees): 8.572 8.572 8.572 126.49 126.49 79.09
Element x y z (fractional)
Tb (0.000, 0.000, 0.000)
Pr (0.246, 0.246, 0.647)
Pr (0.401, 0.754, 0.000)
Pr (0.599, 0.599, 0.353)
Pr (0.754, 0.401, 0.000)
Dy (0.000, 0.500, 0.500)
Dy (0.056, 0.577, 0.000)
Dy (0.423, 0.423, 0.479)
Dy (0.500, 0.000, 0.500)
Dy (0.577, 0.056, 0.000)
Dy (0.944, 0.944, 0.521)



No. 4
Here is a relaxed Tb6Pr4Dy crystal from the Alexandria database. Energies are from PBE-GGA.

Summary:
formation enthalpy at 0 K	41.82	kJ/mol of atoms
energy relative to the lowest polymorph listed for this composition	142.9	meV/atom
total magnetic moment	0.0	μB/f.u.

Lattice parameters (Å, degrees): 8.594 8.594 8.594 126.71 126.71 78.73
Element x y z (fractional)
Tb (0.000, 0.500, 0.500)
Tb (0.053, 0.579, 0.000)
Tb (0.421, 0.421, 0.474)
Tb (0.500, 0.000, 0.500)
Tb (0.579, 0.053, 0.000)
Tb (0.947, 0.947, 0.526)
Pr (0.246, 0.246, 0.647)
Pr (0.401, 0.754, 0.000)
Pr (0.599, 0.599, 0.353)
Pr (0.754, 0.401, 0.000)
Dy (0.000, 0.000, 0.000)



No. 5
Here is a relaxed Tb2Pr5Dy2 crystal from the Alexandria database. Energies are from PBE-GGA.

Summary:
formation enthalpy at 0 K	1.78	kJ/mol of atoms
energy relative to the lowest polymorph listed for this composition	0.0	meV/atom
total magnetic moment	0.0	μB/f.u.

Lattice parameters (Å, degrees): 5.155 8.147 8.154 107.56 108.36 90.04
Element x y z (fractional)
Tb (0.109, 0.164, 0.218)
Tb (0.891, 0.836, 0.782)
Pr (0.000, 0.500, 0.000)
Pr (0.223, 0.836, 0.446)
Pr (0.334, 0.499, 0.668)
Pr (0.666, 0.501, 0.332)
Pr (0.777, 0.164, 0.554)
Dy (0.445, 0.163, 0.891)
Dy (0.555, 0.837, 0.109)



No. 6
Here is a relaxed Tb7PrDy12 crystal from the Alexandria database. Energies are from PBE-GGA.

Summary:
formation enthalpy at 0 K	28.59	kJ/mol of atoms
energy relative to the lowest polymorph listed for this composition	0.0	meV/atom
total magnetic moment	0.0	μB/f.u.

Lattice parameters (Å, degrees): 8.698 8.698 8.698 95.13 95.13 95.13
Element x y z (fractional)
Tb (0.000, 0.000, 0.000)
Tb (0.147, 0.418, 0.483)
Tb (0.418, 0.483, 0.147)
Tb (0.483, 0.147, 0.418)
Tb (0.517, 0.853, 0.582)
Tb (0.582, 0.517, 0.853)
Tb (0.853, 0.582, 0.517)
Pr (0.500, 0.500, 0.500)
Dy (0.023, 0.086, 0.354)
Dy (0.086, 0.354, 0.023)
Dy (0.181, 0.751, 0.311)
Dy (0.249, 0.689, 0.819)
Dy (0.311, 0.181, 0.751)
Dy (0.354, 0.023, 0.086)
Dy (0.646, 0.977, 0.914)
Dy (0.689, 0.819, 0.249)
Dy (0.751, 0.311, 0.181)
Dy (0.819, 0.249, 0.689)
Dy (0.914, 0.646, 0.977)
Dy (0.977, 0.914, 0.646)